Compound: YNbPd6
Source: the Alexandria database
Functional: GGA-PBE
Structure: relaxed Values from VASP.

- Space group: No. 123
- Total magnetization: 0.00 Bohr magnetons per cell
- Formation enthalpy at 0 K: -0.63 eV per atom

The structure in Quantum ESPRESSO input format:
```
&SYSTEM
  ibrav = 0, nat = 8, ntyp = 3
/
ATOMIC_SPECIES
Y 88.91 Y.upf
Nb 92.91 Nb.upf
Pd 106.42 Pd.upf
ATOMIC_POSITIONS crystal
Y 0.000 0.000 0.000
Nb 0.000 0.000 0.500
Pd 0.500 0.500 0.000
Pd 0.500 0.500 0.500
Pd 0.500 0.000 0.265
Pd 0.500 0.000 0.735
Pd 0.000 0.500 0.265
Pd 0.000 0.500 0.735
CELL_PARAMETERS angstrom
4.045 0.000 0.000
0.000 4.045 0.000
0.000 0.000 8.130
```